The following is a PBE with a Hubbard U calculation of a relaxed RbGaWO5 crystal, from Alexandria.

Values from the calculation:
space group: C2/c
total magnetic moment: 0.0 μB/f.u.
volume: 14.81 A^3/atom
crystal system: monoclinic
DFT total energy: -102.8 eV per cell
D(E_F): 0.00 states/eV per cell

Lattice parameters (Å, degrees): 6.0147 6.0147 7.5988 105.97 105.97 104.91
With the nearest neighbours (Å) after each atom.
Atoms (fractional coordinates):
Rb (0.3294, 0.6706, 0.2500)  7 O 2.67-2.81
Rb (0.6706, 0.3294, 0.7500)  7 O 2.67-2.81
Ga (0.6907, 0.3093, 0.2500)  4 O 1.87-1.89
Ga (0.3093, 0.6907, 0.7500)  4 O 1.87-1.89
W (0.0000, 0.0000, 0.5000)  6 O 1.95-1.96
W (0.0000, 0.0000, 0.0000)  6 O 1.95-1.96
O (0.0490, 0.9510, 0.2500)  2 W 1.96
O (0.9510, 0.0490, 0.7500)  2 W 1.96
O (0.8930, 0.2720, 0.1036)  1 Ga 1.87, 1 W 1.96
O (0.1070, 0.7280, 0.8964)  1 Ga 1.87, 1 W 1.96
O (0.7280, 0.1070, 0.3964)  1 Ga 1.87, 1 W 1.96
O (0.2720, 0.8930, 0.6036)  1 Ga 1.87, 1 W 1.96
O (0.7870, 0.6513, 0.3941)  1 Ga 1.89, 1 W 1.95
O (0.2130, 0.3487, 0.6059)  1 Ga 1.89, 1 W 1.95
O (0.3487, 0.2130, 0.1059)  1 Ga 1.89, 1 W 1.95
O (0.6513, 0.7870, 0.8941)  1 Ga 1.89, 1 W 1.95